Record 1
The following is a DFT calculation (PBE) of a geometry-optimized Sc5CoCu4 structure.

Cell and atoms, written as CIF:
```
data_Sc5CoCu4
_chemical_formula_sum 'Sc5 Co1 Cu4'
_space_group_name_H-M_alt 'P 4/m m m'
_space_group_IT_number 123
_space_group_name_Hall '-P 4 2'
_cell_length_a 3.222
_cell_length_b 3.222
_cell_length_c 16.276
_cell_angle_alpha 90.00
_cell_angle_beta 90.00
_cell_angle_gamma 90.00
loop_
_atom_site_label
_atom_site_fract_x
_atom_site_fract_y
_atom_site_fract_z
Sc1 0.000 0.000 0.000
Sc2 0.000 0.000 0.204
Sc3 0.000 0.000 0.406
Co1 0.500 0.500 0.500
Cu1 0.500 0.500 0.101
Cu2 0.500 0.500 0.304
```

Density of states at the Fermi level (states/eV/cell): 4.92
ΔE_f (meV/atom): -298.3
Mass density (g/cm3): 5.3
Total DFT energy (no corrections) (eV for the cell shown): -58.13

---

Record 2
The following is a DFT calculation (PBE) of a geometry-optimized InReTc3 structure.

Cell and atoms, written as CIF:
```
data_InReTc3
_chemical_formula_sum 'In1 Re1 Tc3'
_space_group_name_H-M_alt 'P m -3 m'
_space_group_IT_number 221
_space_group_name_Hall '-P 4 2 3'
_cell_length_a 4.717
_cell_length_b 4.717
_cell_length_c 4.717
_cell_angle_alpha 90.00
_cell_angle_beta 90.00
_cell_angle_gamma 90.00
loop_
_atom_site_label
_atom_site_fract_x
_atom_site_fract_y
_atom_site_fract_z
In1 0.000 0.000 0.000
Re1 0.500 0.500 0.500
Tc1 0.000 0.500 0.500
```

Density of states at the Fermi level (states/eV/cell): 6.23
ΔE_f (meV/atom): 1481.8
Mass density (g/cm3): 9.4
Total DFT energy (no corrections) (eV for the cell shown): -38.88

---

Record 3
The following is a DFT calculation (PBE) of a geometry-optimized Y8As2C3 structure.

Cell and atoms, written as CIF:
```
data_Y8As2C3
_chemical_formula_sum 'Y16 As4 C6'
_space_group_name_H-M_alt 'C 1 2/m 1'
_space_group_IT_number 12
_cell_length_a 14.132
_cell_length_b 7.309
_cell_length_c 6.389
_cell_angle_alpha 90.00
_cell_angle_beta 107.63
_cell_angle_gamma 90.00
loop_
_space_group_symop_operation_xyz
'x,y,z'
'-x,-y,-z'
'-x,y,-z'
'x,-y,z'
'x+1/2,y+1/2,z'
'-x+1/2,-y+1/2,-z'
'-x+1/2,y+1/2,-z'
'x+1/2,-y+1/2,z'
loop_
_atom_site_label
_atom_site_fract_x
_atom_site_fract_y
_atom_site_fract_z
Y1 0.097 0.000 0.402
Y2 0.099 0.500 0.409
Y3 0.102 0.238 0.895
As1 0.245 0.500 0.175
C1 0.000 0.000 0.000
C2 0.000 0.255 0.500
```

Density of states at the Fermi level (states/eV/cell): 21.91
ΔE_f (meV/atom): -589.6
Mass density (g/cm3): 4.7
Total DFT energy (no corrections) (eV for the cell shown): -192.70